{"formula": "MgNi3Au", "functional": "GGA-PBEsol", "state": "relaxed", "cell": [[4.587, 0.000, 0.000], [0.000, 4.587, 0.000], [0.000, 0.000, 4.587]], "species": ["Mg", "Ni", "Ni", "Ni", "Au"], "frac_coords": [[0.000, 0.000, 0.000], [0.000, 0.500, 0.500], [0.500, 0.000, 0.500], [0.500, 0.500, 0.000], [0.500, 0.500, 0.500]], "n_ef_per_ev_cell": 12.7, "final_energy_ev_per_cell": -18.73}